RbRh, optimized geometry, DFT PBE; volume = 60.12 Å³ per atom; total moment = 1.17 μB/f.u.; ΔE_f = 1.866 eV/atom; Fermi-level density of states = 5.6 states/eV/f.u.
1.0
-6.2029 -2.5463 5.9561
3.0130 -8.4343 -0.4679
5.7341 1.6773 6.6889
Rb Rh
6 6
Direct
0.5000 0.2500 0.0000
0.0000 0.5000 0.7500
0.0000 0.5000 0.2500
0.5000 0.7500 0.0000
0.7500 0.0000 0.5000
0.2500 0.0000 0.5000
0.0000 0.7500 0.5000
0.0000 0.2500 0.5000
0.5000 0.0000 0.7500
0.7500 0.5000 0.0000
0.5000 0.0000 0.2500
0.2500 0.5000 0.0000

***

Sm8SiTe4P3, optimized geometry, DFT PBE; volume = 28.01 Å³ per atom; total moment = 0.00 μB/f.u.; Fermi-level density of states = 5.2 states/eV/f.u.; formation energy from raw total energies = -1.467 eV/atom
1.0
-2.3834 1.6155 -7.9635
7.4611 -3.4246 -2.9278
-4.9627 -4.6533 5.0436
Sm Te Si P
8 4 1 3
Direct
0.2624 0.2872 0.5248
0.7608 0.2839 0.0230
0.2391 0.7158 0.4782
0.2622 0.2839 0.0230
0.7378 0.7161 0.9770
0.2392 0.7161 0.9770
0.7609 0.2842 0.5218
0.7376 0.7128 0.4752
0.0000 0.0000 0.5000
0.0000 0.0000 0.0000
0.5000 0.0000 0.0000
0.5000 0.0000 0.5000
0.0000 0.5000 0.0000
0.5000 0.5000 0.5000
0.0000 0.5000 0.5000
0.5000 0.5000 0.0000

***

CoReTc2, optimized geometry, DFT PBE; volume = 13.67 Å³ per atom; total moment = 0.00 μB/f.u.; ΔE_f = 0.036 eV/atom; offset from the most stable computed form = 7 meV/atom; Fermi-level density of states = 3.4 states/eV/f.u.
1.0
-4.0606 2.1519 -0.5181
-3.3936 -3.0197 0.8671
3.7672 1.1366 2.4297
Re Tc Co
1 2 1
Direct
0.7500 0.2500 0.5000
0.0000 0.0000 0.0000
0.2500 0.7500 0.5000
0.5000 0.5000 0.0000